Here is an optimized crystal structure of Ga2Os from the Alexandria database. Energies are from PBE.

Cell: 6.053 4.999 4.798 Å, 76.28 53.35 50.36°
Positions (direct):
1 Ga 0.082 0.418 0.082
2 Ga 0.418 0.082 0.418
3 Ga 0.832 0.168 0.832
4 Ga 0.168 0.832 0.168
5 Os 0.500 0.500 0.500
6 Os 0.750 0.750 0.750

The size of the total moment comes out at 0.000 μB per atom. As for the symmetry: Fddd. For the energy relative to the elements, the calculation gives -165 meV/atom. Its crystal system is orthorhombic.

Here is an optimized crystal structure of GaOs from the Alexandria database. Energies are from PBE.

Cell: 5.069 5.069 5.069 Å, 90.00 90.00 90.00°
Site moments in Bohr magnetons follow the coordinates.
Positions (direct):
1 Os 0.000 0.500 0.000  0.62
2 Os 0.500 0.500 0.500  0.62
3 Os 0.500 0.000 0.000  0.62
4 Os 0.000 0.000 0.500  0.62
5 Ga 0.000 0.000 0.000  -0.02
6 Ga 0.000 0.500 0.500  -0.02
7 Ga 0.500 0.500 0.000  -0.02
8 Ga 0.500 0.000 0.500  -0.02

The size of the total moment comes out at 0.316 μB per atom. As for the symmetry: Fm-3m. Its density of states at the Fermi level is 3.2 states/eV/f.u. For the energy relative to the elements, the calculation gives 887 meV/atom. Its crystal system is cubic.

Here is an optimized crystal structure of Ga2Os from the Alexandria database. Energies are from PBE.

Cell: 2.924 4.141 4.812 Å, 90.00 106.82 90.00°
Positions (direct):
1 Os 0.383 0.000 0.851
2 Ga 0.662 0.000 0.395
3 Ga 0.904 0.500 0.898

The size of the total moment comes out at 0.000 μB per atom. As for the symmetry: Pm. Its density of states at the Fermi level is 2.3 states/eV/f.u. For the energy relative to the elements, the calculation gives 14 meV/atom. Its crystal system is monoclinic.

Here is an optimized crystal structure of GaOs from the Alexandria database. Energies are from PBE.

Cell: 7.716 7.716 4.270 Å, 90.00 90.00 120.00°
Positions (direct):
1 Os 0.554 0.108 0.750
2 Os 0.446 0.554 0.250
3 Os 0.108 0.554 0.250
4 Os 0.554 0.446 0.750
5 Os 0.446 0.892 0.250
6 Os 0.892 0.446 0.750
7 Ga 0.811 0.189 0.250
8 Ga 0.811 0.621 0.250
9 Ga 0.189 0.379 0.750
10 Ga 0.379 0.189 0.250
11 Ga 0.621 0.811 0.750
12 Ga 0.189 0.811 0.750

The size of the total moment comes out at 0.000 μB per atom. As for the symmetry: P6_3/mmc. Its density of states at the Fermi level is 1.4 states/eV/f.u. For the energy relative to the elements, the calculation gives 214 meV/atom. Its crystal system is hexagonal.

Here is an optimized crystal structure of GaOs from the Alexandria database. Energies are from PBE.

Cell: 4.497 14.365 7.910 Å, 90.00 90.00 90.00°
Positions (direct):
1 Os 0.000 0.913 0.000
2 Os 0.250 0.337 0.750
3 Os 0.750 0.163 0.250
4 Os 0.500 0.087 0.500
5 Os 0.750 0.837 0.750
6 Os 0.000 0.587 0.500
7 Os 0.750 0.337 0.250
8 Os 0.750 0.663 0.750
9 Os 0.250 0.163 0.750
10 Os 0.000 0.413 0.500
11 Os 0.250 0.837 0.250
12 Os 0.500 0.587 0.000
13 Os 0.500 0.413 0.000
14 Os 0.250 0.663 0.250
15 Os 0.000 0.087 0.000
16 Os 0.500 0.913 0.500
17 Ga 0.000 0.000 0.338
18 Ga 0.500 0.000 0.162
19 Ga 0.750 0.250 0.588
20 Ga 0.750 0.750 0.412
21 Ga 0.750 0.750 0.088
22 Ga 0.500 0.500 0.338
23 Ga 0.250 0.750 0.912
24 Ga 0.250 0.750 0.588
25 Ga 0.500 0.000 0.838
26 Ga 0.000 0.000 0.662
27 Ga 0.500 0.500 0.662
28 Ga 0.000 0.500 0.162
29 Ga 0.000 0.500 0.838
30 Ga 0.250 0.250 0.412
31 Ga 0.750 0.250 0.912
32 Ga 0.250 0.250 0.088

The size of the total moment comes out at 0.000 μB per atom. As for the symmetry: Fddd. Its density of states at the Fermi level is 1.3 states/eV/f.u. For the energy relative to the elements, the calculation gives 351 meV/atom. Its crystal system is orthorhombic.

Here is an optimized crystal structure of GaOs from the Alexandria database. Energies are from PBE.

Cell: 4.284 4.284 4.949 Å, 90.00 90.00 120.00°
Site moments in Bohr magnetons follow the coordinates.
Positions (direct):
1 Os 0.667 0.333 0.250  0.76
2 Os 0.333 0.667 0.750  0.76
3 Ga 0.333 0.667 0.250  -0.04
4 Ga 0.667 0.333 0.750  -0.04

The size of the total moment comes out at 0.385 μB per atom. As for the symmetry: P6_3/mmc. Its density of states at the Fermi level is 1.4 states/eV/f.u. For the energy relative to the elements, the calculation gives 1004 meV/atom. Its crystal system is hexagonal.

Here is an optimized crystal structure of Ga2Os from the Alexandria database. Energies are from PBE.

Cell: 2.958 2.958 5.693 Å, 90.00 90.00 90.00°
Positions (direct):
1 Ga 0.500 0.500 0.721
2 Ga 0.500 0.500 0.279
3 Os 0.000 0.000 0.000

The size of the total moment comes out at 0.000 μB per atom. As for the symmetry: P4/mmm. Its density of states at the Fermi level is 1.8 states/eV/f.u. For the energy relative to the elements, the calculation gives -19 meV/atom. Its crystal system is tetragonal.

Here is an optimized crystal structure of GaPOs3 from the Alexandria database. Energies are from PBE.

Cell: 4.352 4.352 4.352 Å, 90.00 90.00 90.00°
Positions (direct):
1 P 0.000 0.000 0.000
2 Os 0.000 0.000 0.500
3 Os 0.500 0.000 0.000
4 Os 0.000 0.500 0.000
5 Ga 0.500 0.500 0.500

The value obtained for the distance to the lowest polymorph of the same formula is 0.000 eV per atom. The size of the total moment comes out at 0.000 μB per atom. As for the symmetry: Pm-3m. Its density of states at the Fermi level is 2.2 states/eV/f.u. For the energy relative to the elements, the calculation gives 908 meV/atom. Its crystal system is cubic.

Here is an optimized crystal structure of GaP3Os from the Alexandria database. Energies are from PBE.

Cell: 4.650 4.650 4.650 Å, 90.00 90.00 90.00°
Positions (direct):
1 P 0.000 0.000 0.500
2 P 0.500 0.000 0.000
3 P 0.000 0.500 0.000
4 Ga 0.500 0.500 0.500
5 Os 0.000 0.000 0.000

The value obtained for the distance to the lowest polymorph of the same formula is 0.000 eV per atom. The size of the total moment comes out at 0.000 μB per atom. As for the symmetry: Pm-3m. Its density of states at the Fermi level is 4.7 states/eV/f.u. For the energy relative to the elements, the calculation gives 687 meV/atom. Its crystal system is cubic.

Here is an optimized crystal structure of GaP2Os from the Alexandria database. Energies are from PBE.

Cell: 5.461 5.461 6.545 Å, 65.34 65.34 90.00°
Positions (direct):
1 P 0.101 0.625 0.250
2 P 0.649 0.125 0.250
3 P 0.875 0.899 0.750
4 P 0.375 0.351 0.750
5 Os 0.750 0.250 0.500
6 Os 0.000 0.000 0.000
7 Ga 0.500 0.500 0.000
8 Ga 0.250 0.750 0.500

The size of the total moment comes out at 0.000 μB per atom. As for the symmetry: I-42d. Its density of states at the Fermi level is 2.6 states/eV/f.u. For the energy relative to the elements, the calculation gives -45 meV/atom. Its crystal system is tetragonal.

Here is an optimized crystal structure of GaPOs3 from the Alexandria database. Energies are from PBE.

Cell: 4.517 4.517 4.517 Å, 90.00 90.00 90.00°
Site moments in Bohr magnetons follow the coordinates.
Positions (direct):
1 Ga 0.000 0.000 0.000  0.00
2 P 0.500 0.500 0.500  -0.04
3 Os 0.500 0.000 0.000  0.28
4 Os 0.000 0.000 0.500  0.21
5 Os 0.000 0.500 0.000  0.30

The value obtained for the distance to the lowest polymorph of the same formula is 1.305 eV per atom. The size of the total moment comes out at 0.161 μB per atom. As for the symmetry: Pm-3m. Its density of states at the Fermi level is 6.0 states/eV/f.u. For the energy relative to the elements, the calculation gives 2214 meV/atom. Its crystal system is cubic.

Here is an optimized crystal structure of RbGaPOs from the Alexandria database. Energies are from PBE.

Cell: 3.959 3.959 13.444 Å, 90.00 90.00 90.00°
Positions (direct):
1 Ga 0.250 0.750 0.500
2 Ga 0.750 0.250 0.500
3 Os 0.750 0.250 0.000
4 Os 0.250 0.750 0.000
5 Rb 0.250 0.250 0.754
6 Rb 0.750 0.750 0.246
7 P 0.750 0.750 0.905
8 P 0.250 0.250 0.095

The size of the total moment comes out at 0.000 μB per atom. As for the symmetry: P4/nmm. Its density of states at the Fermi level is 2.4 states/eV/f.u. For the energy relative to the elements, the calculation gives -226 meV/atom. Its crystal system is tetragonal.

- Which formula does entry 6 have?
  GaOs

- Number 7 is which compound?
  Ga2Os

- The highest size of the total moment belongs to which entry?
  number 6

- Number 2 is which compound?
  GaOs